No. 1
8
Lattice="5.847 -0.009 0.000 -2.880 5.089 0.000 -1.484 -2.540 5.054" Properties=species:S:1:pos:R:3 comment="HfSi2Hg (SCAN, PBEsol geometry)" raw_formation_energy_mev_per_atom=302 pbc="T T T"
Si -1.880 1.950 4.974
Si 4.105 1.860 0.080
Si -0.302 -0.675 2.447
Si 1.044 1.945 2.607
Hf 2.924 -0.004 2.527
Hf 1.484 2.540 0.000
Hg -1.440 2.544 2.527
Hg 0.000 0.000 0.000

---

No. 2
5
Lattice="-2.339 2.156 -2.463 -1.510 -3.397 -1.540 -3.099 0.671 6.815" Properties=species:S:1:pos:R:3 comment="SrAg2Se2 (SCAN, PBEsol geometry)" raw_formation_energy_mev_per_atom=-917 pbc="T T T"
Ag -3.266 -1.673 1.637
Ag -3.681 1.103 1.175
Sr 0.000 0.000 0.000
Se -3.085 -0.609 -0.889
Se -3.862 0.039 3.701

---

No. 3
16
Lattice="-5.149 1.767 0.805 -1.448 -5.533 2.887 2.796 4.010 9.088" Properties=species:S:1:pos:R:3 comment="Mg3Sc (SCAN, PBEsol geometry)" e_form_ev_per_atom=-0.01 pbc="T T T"
Sc -1.064 3.356 7.635
Sc -4.940 -0.814 4.808
Sc 1.140 1.057 7.971
Sc -2.736 -3.112 5.144
Mg -1.557 3.257 10.743
Mg -5.168 -3.474 3.140
Mg 1.368 3.717 9.640
Mg -2.243 -3.014 2.036
Mg 0.390 -1.728 9.431
Mg -2.000 -0.378 3.711
Mg -0.022 1.724 5.122
Mg -1.800 0.621 9.068
Mg -4.191 1.971 3.349
Mg -3.778 -1.480 7.658
Mg -2.948 1.264 6.225
Mg -0.853 -1.020 6.555

---

No. 4
6
Lattice="3.719 0.000 0.000 0.000 5.520 0.000 -1.860 0.000 5.825" Properties=species:S:1:pos:R:3 comment="Sc2As (SCAN, PBEsol geometry)" e_form_ev_per_atom=-1.01 pbc="T T T"
Sc 0.000 4.140 2.382
Sc 1.860 2.760 0.000
Sc 1.860 0.000 0.000
Sc 1.860 1.380 3.443
As 0.000 1.380 1.529
As 1.860 4.140 4.296

---

Number 1: M_tot 0.00 Bohr magnetons per cell. Number 2: M_tot 0.00 Bohr magnetons per cell. Number 3: M_tot 1.90 Bohr magnetons per cell. Number 4: M_tot 1.39 Bohr magnetons per cell.